Computed, not measured: a relaxed HfP2CO crystal at the GGA-PBEsol level of DFT.

The calculation puts the density of states at the Fermi level at 4.0 states/eV/f.u. The calculation puts the total energy at -6.4198 eV per atom.

It has space group P4/mmm (No. 123), with a = 5.034 Å, b = 5.034 Å, c = 3.865 Å, α = 90.00°, β = 90.00° and γ = 90.00°. The asymmetric unit holds Hf at (0.000, 0.000, 0.000), P at (0.000, 0.500, 0.000), C at (0.500, 0.500, 0.500) and O at (0.000, 0.000, 0.500).